A plane-wave DFT calculation with GGA-PBE was carried out for an optimized crystal structure of AlOF3.

Cell: 3.8934 3.8934 3.8934 Å, 90.00 90.00 90.00°
Fractional coordinates of all 5 atoms:
Al 0.5000 0.5000 0.5000
F 0.5000 0.0000 0.0000
O 0.0000 0.0000 0.0000
F 0.0000 0.5000 0.0000
F 0.0000 0.0000 0.5000

Computed properties:
- DFT total energy (eV/atom) = -3.0774
- symmetry = Pm-3m (221)
- magnetic moment (μB per formula unit) = 0.0
- E_form (uncorrected) (kcal/mol of atoms) = -4.944
- density of states at the Fermi level (states/eV/f.u.) = 3.364